Model P:
! ReNiSe3 | Alexandria via LeMat-Bulk | PBE | optimized geometry; values from VASP
! Size of the total moment in μB/f.u.: 2.965
! V in Å³/atom: 19.83
! Crystal system: cubic
! Symmetry: Pm-3m, No. 221
&SYSTEM
  ibrav = 0, nat = 5, ntyp = 3
/
ATOMIC_SPECIES
Re 186.21 Re.upf
Se 78.96 Se.upf
Ni 58.69 Ni.upf
ATOMIC_POSITIONS angstrom
Re 2.3140 2.3140 2.3140
Se 0.0000 2.3140 0.0000
Se 0.0000 0.0000 2.3140
Se 2.3140 0.0000 0.0000
Ni 0.0000 0.0000 0.0000
CELL_PARAMETERS angstrom
4.6281 0.0000 0.0000
0.0000 4.6281 0.0000
0.0000 0.0000 4.6281

***

Model Q:
! ReNiSe3 | Alexandria via LeMat-Bulk | PBE | optimized geometry; values from VASP
! Size of the total moment in μB/f.u.: 1.163
! V in Å³/atom: 23.17
! Crystal system: cubic
! Symmetry: Pm-3m, No. 221
&SYSTEM
  ibrav = 0, nat = 5, ntyp = 3
/
ATOMIC_SPECIES
Re 186.21 Re.upf
Se 78.96 Se.upf
Ni 58.69 Ni.upf
ATOMIC_POSITIONS angstrom
Re 0.0000 0.0000 0.0000
Se -1.4217 -1.7410 0.9430
Se 1.9707 -1.1320 0.8812
Se -0.1915 1.2764 2.0678
Ni 0.3575 -1.5966 3.8920
CELL_PARAMETERS angstrom
-0.3830 2.5528 4.1356
-2.8434 -3.4820 1.8860
3.9414 -2.2639 1.7625

***

Tell me which of them is the most stable. Sure, it is model Q.